1.
Here is a relaxed structure of RbLaGd from OQMD. Energies are from PBE.

a = 8.6241 Å, b = 8.6241 Å, c = 8.6241 Å
α = 90.00°, β = 90.00°, γ = 90.00°
With the nearest neighbours (Å) after each atom.
Space group F-43m (No. 216)
Asymmetric unit:
Rb (0.0000, 0.0000, 0.0000) x4  4 Gd 3.73
La (0.0000, 0.0000, 0.5000) x4  4 Gd 3.73
Gd (0.2500, 0.2500, 0.7500) x4  4 La 3.73, 4 Rb 3.73

- M_tot: 7.70 μB/cell
- Energy: -2.359 eV per atom

2.
Here is a relaxed structure of LaGdRe from OQMD. Energies are from PBE.

a = 6.8504 Å, b = 6.8504 Å, c = 6.8504 Å
α = 90.00°, β = 90.00°, γ = 90.00°
With the nearest neighbours (Å) after each atom.
Space group F-43m (No. 216)
Asymmetric unit:
La (0.0000, 0.0000, 0.0000) x4  4 Gd 2.97
Gd (0.2500, 0.2500, 0.2500) x4  4 Re 2.97, 4 La 2.97
Re (0.0000, 0.0000, 0.5000) x4  4 Gd 2.97

- M_tot: 1.18 μB/cell
- Energy: -6.287 eV per atom
- Formation enthalpy at 0 K: 1046 meV per atom

3.
Here is a relaxed structure of La2GdS3 from OQMD. Energies are from PBE.

a = 4.0724 Å, b = 4.0724 Å, c = 10.0547 Å
α = 90.00°, β = 90.00°, γ = 120.00°
With the nearest neighbours (Å) after each atom.
Space group P-3m1 (No. 164)
Asymmetric unit:
La (0.3333, 0.6667, 0.1708) x2  6 S 2.91-2.94
Gd (0.0000, 0.0000, 0.5000) x1  6 S 2.81
S (0.0000, 0.0000, 0.0000) x1  6 La 2.91
S (0.3333, 0.6667, 0.6535) x2  3 Gd 2.81, 3 La 2.94

- M_tot: 0.01 μB/cell
- Energy: -6.603 eV per atom

4.
Here is a relaxed structure of LaGd2S3 from OQMD. Energies are from PBE.

a = 3.9967 Å, b = 3.9967 Å, c = 9.9037 Å
α = 90.00°, β = 90.00°, γ = 120.00°
With the nearest neighbours (Å) after each atom.
Space group P-3m1 (No. 164)
Asymmetric unit:
La (0.0000, 0.0000, 0.0000) x1  6 S 2.92
Gd (0.3333, 0.6667, 0.6622) x2  6 S 2.78-2.81
S (0.0000, 0.0000, 0.5000) x1  6 Gd 2.81
S (0.3333, 0.6667, 0.1807) x2  3 Gd 2.78, 3 La 2.92

- M_tot: 0.00 μB/cell
- Energy: -6.510 eV per atom

5.
Here is a relaxed structure of LaGdS2 from OQMD. Energies are from PBE.

a = 4.0539 Å, b = 4.0539 Å, c = 5.7289 Å
α = 90.00°, β = 90.00°, γ = 90.00°
With the nearest neighbours (Å) after each atom.
Space group P4/mmm (No. 123)
Asymmetric unit:
La (0.0000, 0.0000, 0.0000) x1  6 S 2.86-2.87
Gd (0.5000, 0.5000, 0.5000) x1  6 S 2.86-2.87
S (0.0000, 0.0000, 0.5000) x1  2 La 2.86, 4 Gd 2.87
S (0.5000, 0.5000, 0.0000) x1  2 Gd 2.86, 4 La 2.87

- M_tot: 0.00 μB/cell
- Energy: -6.525 eV per atom

6.
Here is a relaxed structure of LaGdSb from OQMD. Energies are from PBE.

a = 7.4101 Å, b = 7.4101 Å, c = 7.4101 Å
α = 90.00°, β = 90.00°, γ = 90.00°
With the nearest neighbours (Å) after each atom.
Space group F-43m (No. 216)
Asymmetric unit:
La (0.0000, 0.0000, 0.0000) x4  4 Sb 3.21
Gd (0.0000, 0.0000, 0.5000) x4  4 Sb 3.21
Sb (0.2500, 0.2500, 0.7500) x4  4 Gd 3.21, 4 La 3.21

- M_tot: 0.13 μB/cell
- Energy: -5.204 eV per atom

7.
Here is a relaxed structure of LaGdSc from OQMD. Energies are from PBE.

a = 7.5433 Å, b = 7.5433 Å, c = 7.5433 Å
α = 90.00°, β = 90.00°, γ = 90.00°
With the nearest neighbours (Å) after each atom.
Space group F-43m (No. 216)
Asymmetric unit:
La (0.0000, 0.0000, 0.0000) x4  4 Sc 3.27
Gd (0.0000, 0.0000, 0.5000) x4  4 Sc 3.27
Sc (0.2500, 0.2500, 0.7500) x4  4 Gd 3.27, 4 La 3.27

- M_tot: 1.97 μB/cell
- Energy: -4.650 eV per atom
- Formation enthalpy at 0 K: 652 meV per atom

8.
Here is a relaxed structure of LaGd2Se3 from OQMD. Energies are from PBE.

a = 4.1587 Å, b = 4.1587 Å, c = 10.3115 Å
α = 90.00°, β = 90.00°, γ = 120.00°
With the nearest neighbours (Å) after each atom.
Space group P-3m1 (No. 164)
Asymmetric unit:
La (0.0000, 0.0000, 0.0000) x1  6 Se 3.03
Gd (0.3333, 0.6667, 0.6624) x2  6 Se 2.90-2.93
Se (0.0000, 0.0000, 0.5000) x1  6 Gd 2.93
Se (0.3333, 0.6667, 0.1800) x2  3 Gd 2.90, 3 La 3.03

- M_tot: 0.00 μB/cell
- Energy: -5.981 eV per atom

9.
Here is a relaxed structure of LaGdSi from OQMD. Energies are from PBE.

a = 7.0825 Å, b = 7.0825 Å, c = 7.0825 Å
α = 90.00°, β = 90.00°, γ = 90.00°
With the nearest neighbours (Å) after each atom.
Space group F-43m (No. 216)
Asymmetric unit:
La (0.0000, 0.0000, 0.0000) x4  4 Si 3.07
Gd (0.0000, 0.0000, 0.5000) x4  4 Si 3.07
Si (0.2500, 0.2500, 0.7500) x4  4 Gd 3.07, 4 La 3.07

- M_tot: 0.02 μB/cell
- Energy: -5.457 eV per atom

10.
Here is a relaxed structure of LaGdZn2Si2 from OQMD. Energies are from PBE.

a = 4.1723 Å, b = 4.1723 Å, c = 8.4282 Å
α = 90.00°, β = 90.00°, γ = 120.00°
With the nearest neighbours (Å) after each atom.
Space group P-3m1 (No. 164)
Asymmetric unit:
La (0.0000, 0.0000, 0.0000) x1  6 Zn 3.26, 6 Si 3.27
Gd (0.0000, 0.0000, 0.5000) x1  6 Si 3.13, 6 Zn 3.14
Zn (0.3333, 0.6667, 0.7396) x2  3 Si 2.41
Si (0.3333, 0.6667, 0.2623) x2  3 Zn 2.41

- M_tot: 0.02 μB/cell
- Energy: -4.470 eV per atom

11.
Here is a relaxed structure of LaGdZn6Sn3 from OQMD. Energies are from PBE.

a = 7.9934 Å, b = 7.9934 Å, c = 4.2758 Å
α = 90.00°, β = 90.00°, γ = 120.00°
With the nearest neighbours (Å) after each atom.
Space group P-6 (No. 174)
Asymmetric unit:
La (0.0000, 0.0000, 0.0000) x1  6 Sn 3.32, 9 Zn 3.52-3.59
Gd (0.6667, 0.3333, 0.0000) x1  6 Sn 3.22, 3 Zn 3.34
Zn (0.0648, 0.6757, 0.5000) x3  3 Sn 2.69-2.79, 4 Zn 2.82-2.94
Zn (0.1415, 0.4938, 0.0000) x3  4 Zn 2.53-2.82, 2 Sn 2.71
Sn (0.3436, 0.0625, 0.5000) x3  5 Zn 2.69-2.79

- M_tot: 0.00 μB/cell
- Energy: -2.974 eV per atom

12.
Here is a relaxed structure of La2GdTe3 from OQMD. Energies are from PBE.

a = 4.5035 Å, b = 4.5035 Å, c = 11.1343 Å
α = 90.00°, β = 90.00°, γ = 120.00°
With the nearest neighbours (Å) after each atom.
Space group P-3m1 (No. 164)
Asymmetric unit:
La (0.3333, 0.6667, 0.1717) x2  6 Te 3.23-3.24
Gd (0.0000, 0.0000, 0.5000) x1  6 Te 3.12
Te (0.0000, 0.0000, 0.0000) x1  6 La 3.23
Te (0.3333, 0.6667, 0.6546) x2  3 Gd 3.12, 3 La 3.24

- M_tot: 0.00 μB/cell
- Energy: -5.502 eV per atom

13.
Here is a relaxed structure of LaGdTh from OQMD. Energies are from PBE.

a = 7.6207 Å, b = 7.6207 Å, c = 7.6207 Å
α = 90.00°, β = 90.00°, γ = 90.00°
With the nearest neighbours (Å) after each atom.
Space group F-43m (No. 216)
Asymmetric unit:
La (0.0000, 0.0000, 0.0000) x4  4 Gd 3.30, 4 Th 3.30
Gd (0.2500, 0.2500, 0.7500) x4  4 La 3.30
Th (0.2500, 0.2500, 0.2500) x4  4 La 3.30

- M_tot: 6.93 μB/cell
- Energy: -4.867 eV per atom
- Formation enthalpy at 0 K: 796 meV per atom